{
  "formula": "K4F5",
  "functional": "GGA-PBE",
  "state": "optimized geometry",
  "spacegroup": "Immm, No. 71",
  "crystal_system": "orthorhombic",
  "formation_energy_uncorrected_mev_per_atom": -2367,
  "magmom_total_mub_per_atom": 0.1285,
  "vol_a3_per_atom": 18.93,
  "final_energy_ev_per_cell": -35.05,
  "cell": [[3.4907, -0.0797, -0.6841], [-0.4921, 6.2771, -3.2425], [-0.2780, 0.0291, 7.8329]],
  "species": ["F", "F", "K", "K", "K", "F", "F", "K", "F"],
  "frac_coords": [[0.7659, 0.4320, 0.5307], [0.0000, 0.6667, 0.0000], [0.6316, 0.5715, 0.2631], [0.3684, 0.3084, 0.7369], [0.3684, 0.7618, 0.7369], [0.0000, 0.3169, 0.0000], [0.2341, 0.9013, 0.4693], [0.6316, 0.0249, 0.2631], [0.0000, 0.0164, 0.0000]]
}

{
  "formula": "KF2",
  "functional": "GGA-PBE",
  "state": "optimized geometry",
  "spacegroup": "I4/mmm, No. 139",
  "crystal_system": "tetragonal",
  "formation_energy_uncorrected_mev_per_atom": -1884,
  "magmom_total_mub_per_atom": 0.3373,
  "vol_a3_per_atom": 17.76,
  "final_energy_ev_per_cell": -10.49,
  "cell": [[3.7359, 0.0003, -0.0012], [0.0003, 3.7359, -0.0012], [-1.8695, -1.8695, 3.8183]],
  "species": ["F", "K", "F"],
  "frac_coords": [[0.8700, 0.8700, 0.7412], [0.5000, 0.5000, 0.0000], [0.1300, 0.1300, 0.2588]]
}